(1)
Compound: MnPd
Source: Alexandria via LeMat-Bulk
Functional: PBE-GGA
Structure: relaxed

Cell: 4.381 4.381 5.166 Å, 90.00 90.00 120.00°
Fractional positions:
Mn 0.333 0.667 0.250
Mn 0.667 0.333 0.750
Pd 0.333 0.667 0.750
Pd 0.667 0.333 0.250

Results
theoretical density = 6.24 Mg/m³
energy of formation = 0.567 eV per atom
magnetization = 4.535 μB per formula unit
final energy = -6.614 eV/atom
N(E_F) = 2.7 states/eV per cell

(2)
Compound: Mn2Pd3
Source: Alexandria via LeMat-Bulk
Functional: PBE-GGA
Structure: relaxed

Cell: 4.403 4.361 5.208 Å, 113.86 90.00 120.32°
Fractional positions:
Mn 0.399 0.799 0.200
Mn 0.601 0.201 0.800
Pd 0.790 0.581 0.373
Pd 0.210 0.419 0.627
Pd 0.000 0.000 0.000

Results
theoretical density = 9.35 Mg/m³
energy of formation = -0.168 eV per atom
magnetization = 9.013 μB per formula unit
final energy = -6.952 eV/atom
N(E_F) = 1.8 states/eV per cell

(3)
Compound: MnPd
Source: Alexandria via LeMat-Bulk
Functional: PBE-GGA
Structure: relaxed

Cell: 10.297 10.298 2.765 Å, 90.00 90.00 120.00°
Fractional positions:
Mn 0.573 0.999 0.250
Mn 0.574 0.573 0.750
Mn 0.001 0.574 0.250
Mn 0.427 0.001 0.750
Mn 0.426 0.427 0.250
Mn 0.999 0.426 0.750
Pd 0.772 0.260 0.250
Pd 0.512 0.772 0.750
Pd 0.740 0.512 0.250
Pd 0.228 0.740 0.750
Pd 0.488 0.228 0.250
Pd 0.260 0.488 0.750

Results
theoretical density = 6.33 Mg/m³
energy of formation = 0.678 eV per atom
magnetization = 0.000 μB per formula unit
final energy = -6.503 eV/atom
N(E_F) = 9.4 states/eV per cell

(4)
Compound: MnPd
Source: Alexandria via LeMat-Bulk
Functional: PBE-GGA
Structure: relaxed

Cell: 7.884 7.884 7.884 Å, 90.00 90.00 90.00°
Fractional positions:
Mn 0.134 0.134 0.134
Mn 0.134 0.866 0.866
Mn 0.866 0.134 0.866
Mn 0.866 0.866 0.134
Mn 0.634 0.634 0.634
Mn 0.634 0.366 0.366
Mn 0.366 0.634 0.366
Mn 0.366 0.366 0.634
Pd 0.321 0.321 0.321
Pd 0.321 0.679 0.679
Pd 0.679 0.321 0.679
Pd 0.679 0.679 0.321
Pd 0.821 0.821 0.821
Pd 0.821 0.179 0.179
Pd 0.179 0.821 0.179
Pd 0.179 0.179 0.821

Results
theoretical density = 4.37 Mg/m³
energy of formation = 0.966 eV per atom
magnetization = 4.584 μB per formula unit
final energy = -6.216 eV/atom
N(E_F) = 7.6 states/eV per cell

(5)
Compound: MnPd3
Source: Alexandria via LeMat-Bulk
Functional: PBE-GGA
Structure: relaxed

Cell: 4.516 5.573 5.573 Å, 120.00 90.00 90.00°
Fractional positions:
Mn 0.750 0.333 0.667
Mn 0.250 0.667 0.333
Pd 0.250 0.168 0.335
Pd 0.250 0.665 0.832
Pd 0.250 0.168 0.832
Pd 0.750 0.832 0.665
Pd 0.750 0.335 0.168
Pd 0.750 0.832 0.168

Results
theoretical density = 10.23 Mg/m³
energy of formation = -0.202 eV per atom
magnetization = 4.599 μB per formula unit
final energy = -6.389 eV/atom
N(E_F) = 7.9 states/eV per cell

(6)
Compound: Mn11Pd21
Source: Alexandria via LeMat-Bulk
Functional: PBE-GGA
Structure: relaxed

Cell: 8.059 8.059 7.461 Å, 90.00 90.00 90.00°
Fractional positions:
Mn 0.500 0.000 0.500
Mn 0.240 0.240 0.000
Mn 0.254 0.254 0.500
Mn 0.760 0.240 0.000
Mn 0.746 0.254 0.500
Mn 0.000 0.500 0.500
Mn 0.500 0.500 0.000
Mn 0.240 0.760 0.000
Mn 0.254 0.746 0.500
Mn 0.760 0.760 0.000
Mn 0.746 0.746 0.500
Pd 0.000 0.000 0.000
Pd 0.000 0.000 0.500
Pd 0.253 0.000 0.260
Pd 0.500 0.000 0.000
Pd 0.253 0.000 0.740
Pd 0.747 0.000 0.260
Pd 0.747 0.000 0.740
Pd 0.000 0.253 0.260
Pd 0.000 0.253 0.740
Pd 0.500 0.251 0.246
Pd 0.500 0.251 0.754
Pd 0.000 0.500 0.000
Pd 0.251 0.500 0.246
Pd 0.251 0.500 0.754
Pd 0.500 0.500 0.500
Pd 0.749 0.500 0.246
Pd 0.749 0.500 0.754
Pd 0.000 0.747 0.260
Pd 0.000 0.747 0.740
Pd 0.500 0.749 0.246
Pd 0.500 0.749 0.754

Results
theoretical density = 9.73 Mg/m³
energy of formation = -0.214 eV per atom
magnetization = 48.615 μB per formula unit
final energy = -6.774 eV/atom
N(E_F) = 18.6 states/eV per cell

(7)
Compound: MnPd
Source: Alexandria via LeMat-Bulk
Functional: PBE-GGA
Structure: relaxed

Cell: 7.120 7.120 7.120 Å, 90.00 90.00 90.00°
Fractional positions:
Mn 0.250 0.500 0.000
Mn 0.750 0.500 0.000
Mn 0.500 0.000 0.250
Mn 0.500 0.000 0.750
Mn 0.000 0.250 0.500
Mn 0.000 0.750 0.500
Pd 0.250 0.000 0.500
Pd 0.750 0.000 0.500
Pd 0.000 0.500 0.250
Pd 0.000 0.500 0.750
Pd 0.500 0.250 0.000
Pd 0.500 0.750 0.000

Results
theoretical density = 4.45 Mg/m³
energy of formation = 0.932 eV per atom
magnetization = 4.815 μB per formula unit
final energy = -6.249 eV/atom
N(E_F) = 6.0 states/eV per cell

(8)
Compound: MnPd
Source: Alexandria via LeMat-Bulk
Functional: PBE-GGA
Structure: relaxed

Cell: 9.082 9.082 2.694 Å, 90.00 90.00 90.00°
Fractional positions:
Mn 0.457 0.146 0.000
Mn 0.543 0.854 0.000
Mn 0.854 0.457 0.000
Mn 0.146 0.543 0.000
Mn 0.957 0.646 0.500
Mn 0.043 0.354 0.500
Mn 0.354 0.957 0.500
Mn 0.646 0.043 0.500
Pd 0.135 0.830 0.000
Pd 0.865 0.170 0.000
Pd 0.170 0.135 0.000
Pd 0.830 0.865 0.000
Pd 0.635 0.330 0.500
Pd 0.365 0.670 0.500
Pd 0.670 0.635 0.500
Pd 0.330 0.365 0.500

Results
theoretical density = 9.65 Mg/m³
energy of formation = 0.167 eV per atom
magnetization = 1.557 μB per formula unit
final energy = -7.014 eV/atom
N(E_F) = 19.2 states/eV per cell

(9)
Compound: MnPd
Source: Alexandria via LeMat-Bulk
Functional: PBE-GGA
Structure: relaxed

Cell: 2.867 2.867 12.825 Å, 90.00 90.00 120.00°
Fractional positions:
Mn 0.000 0.000 0.000
Mn 0.333 0.667 0.667
Mn 0.667 0.333 0.333
Pd 0.000 0.000 0.500
Pd 0.333 0.667 0.167
Pd 0.667 0.333 0.833

Results
theoretical density = 8.81 Mg/m³
energy of formation = -0.026 eV per atom
magnetization = 4.256 μB per formula unit
final energy = -7.207 eV/atom
N(E_F) = 3.6 states/eV per cell

(10)
Compound: Mn4Pd
Source: Alexandria via LeMat-Bulk
Functional: PBE-GGA
Structure: relaxed

Cell: 4.807 4.807 4.807 Å, 90.00 90.00 90.00°
Fractional positions:
Mn 0.000 0.000 0.000
Mn 0.500 0.000 0.500
Mn 0.000 0.500 0.500
Mn 0.500 0.500 0.000
Pd 0.500 0.500 0.500

Results
theoretical density = 4.88 Mg/m³
energy of formation = 1.119 eV per atom
magnetization = 17.722 μB per formula unit
final energy = -7.255 eV/atom
N(E_F) = 4.2 states/eV per cell

(11)
Compound: Mn2Pd3
Source: Alexandria via LeMat-Bulk
Functional: PBE-GGA
Structure: relaxed

Cell: 2.863 5.517 4.785 Å, 81.77 72.59 74.96°
Fractional positions:
Mn 0.354 0.911 0.380
Mn 0.646 0.089 0.620
Pd 0.838 0.261 0.062
Pd 0.000 0.500 0.500
Pd 0.162 0.739 0.938

Results
theoretical density = 10.25 Mg/m³
energy of formation = 0.124 eV per atom
magnetization = 0.000 μB per formula unit
final energy = -6.660 eV/atom
N(E_F) = 5.3 states/eV per cell

(12)
Compound: MnPd
Source: Alexandria via LeMat-Bulk
Functional: PBE-GGA
Structure: relaxed

Cell: 2.983 2.983 3.401 Å, 90.00 90.00 90.00°
Fractional positions:
Mn 0.000 0.000 0.000
Pd 0.500 0.500 0.500

Results
theoretical density = 8.85 Mg/m³
energy of formation = -0.180 eV per atom
magnetization = 4.356 μB per formula unit
final energy = -7.361 eV/atom
N(E_F) = 0.8 states/eV per cell

Repeat the second record exactly.
Compound: Mn2Pd3
Source: Alexandria via LeMat-Bulk
Functional: PBE-GGA
Structure: relaxed

Cell: 4.403 4.361 5.208 Å, 113.86 90.00 120.32°
Fractional positions:
Mn 0.399 0.799 0.200
Mn 0.601 0.201 0.800
Pd 0.790 0.581 0.373
Pd 0.210 0.419 0.627
Pd 0.000 0.000 0.000

Results
theoretical density = 9.35 Mg/m³
energy of formation = -0.168 eV per atom
magnetization = 9.013 μB per formula unit
final energy = -6.952 eV/atom
N(E_F) = 1.8 states/eV per cell

Question: What is the magnetization in the first record?
Answer: 4.535 μB per formula unit